{
  "formula": "LiPrB4",
  "functional": "PBE",
  "state": "relaxed",
  "lattice_angstrom": [[-1.576, 2.719, 4.149], [1.576, -2.719, 4.149], [1.576, 2.719, -4.149]],
  "species": ["Li", "Pr", "B", "B", "B", "B"],
  "frac_coords": [[0.000, 0.000, 0.000], [0.500, 0.500, 0.000], [0.079, 0.753, 0.326], [0.427, 0.753, 0.674], [0.573, 0.247, 0.326], [0.921, 0.247, 0.674]],
  "e_above_lowest_polymorph_mev_per_atom": 0,
  "dft_energy_ev_per_atom": -5.627,
  "volume_a3_per_atom": 11.848
}


{
  "formula": "Tb2ErAlCd3Ga2",
  "functional": "PBE",
  "state": "relaxed",
  "lattice_angstrom": [[4.423, 0.000, 0.000], [0.000, 6.277, 3.636], [0.000, -6.277, 3.636]],
  "species": ["Tb", "Tb", "Er", "Al", "Cd", "Cd", "Cd", "Ga", "Ga"],
  "frac_coords": [[0.000, 0.216, 0.784], [0.000, 0.784, 0.216], [0.000, 0.650, 0.650], [0.000, 0.218, 0.218], [0.500, 0.217, 0.463], [0.500, 0.463, 0.217], [0.500, 0.970, 0.970], [0.500, 0.551, 0.882], [0.500, 0.882, 0.551]],
  "dft_energy_ev_per_atom": -3.412,
  "volume_a3_per_atom": 22.432
}


{
  "formula": "ThN2",
  "functional": "PBE",
  "state": "relaxed",
  "lattice_angstrom": [[5.235, 0.000, 0.000], [0.000, 5.235, 0.000], [0.000, 0.000, 3.889]],
  "species": ["Th", "Th", "N", "N", "N", "N"],
  "frac_coords": [[0.000, 0.000, 0.000], [0.500, 0.500, 0.500], [0.186, 0.186, 0.500], [0.314, 0.686, 0.000], [0.686, 0.314, 0.000], [0.814, 0.814, 0.500]],
  "dft_energy_ev_per_atom": -8.278,
  "volume_a3_per_atom": 17.765
}


{
  "formula": "MgTaFeBi",
  "functional": "PBE",
  "state": "relaxed",
  "lattice_angstrom": [[0.000, 3.352, 3.352], [3.352, 0.000, 3.352], [3.352, 3.352, 0.000]],
  "species": ["Mg", "Ta", "Fe", "Bi"],
  "frac_coords": [[0.000, 0.000, 0.000], [0.250, 0.250, 0.250], [0.750, 0.750, 0.750], [0.500, 0.500, 0.500]],
  "e_above_lowest_polymorph_mev_per_atom": 112,
  "dft_energy_ev_per_atom": -5.710,
  "volume_a3_per_atom": 18.836
}


{
  "formula": "Gd2Si5Ni3",
  "functional": "PBE",
  "state": "relaxed",
  "lattice_angstrom": [[-4.788, 5.601, 2.833], [4.788, -5.601, 2.833], [4.788, 5.601, -2.833]],
  "species": ["Gd", "Gd", "Gd", "Gd", "Si", "Si", "Si", "Si", "Si", "Si", "Si", "Si", "Si", "Si", "Ni", "Ni", "Ni", "Ni", "Ni", "Ni"],
  "frac_coords": [[0.131, 0.237, 0.368], [0.369, 0.737, 0.106], [0.631, 0.263, 0.894], [0.869, 0.763, 0.632], [0.016, 0.750, 0.266], [0.107, 0.651, 0.759], [0.250, 0.250, 0.000], [0.393, 0.151, 0.544], [0.484, 0.750, 0.734], [0.516, 0.250, 0.266], [0.607, 0.849, 0.456], [0.750, 0.750, 0.000], [0.893, 0.349, 0.241], [0.984, 0.250, 0.734], [0.134, 0.888, 0.022], [0.250, 0.750, 0.500], [0.366, 0.388, 0.754], [0.634, 0.612, 0.246], [0.750, 0.250, 0.500], [0.866, 0.112, 0.978]],
  "dft_energy_ev_per_atom": -6.113,
  "volume_a3_per_atom": 15.197
}


{
  "formula": "Ba2TbOsSe6",
  "functional": "PBE",
  "state": "relaxed",
  "lattice_angstrom": [[-3.604, 3.604, 5.402], [3.604, -3.604, 5.402], [3.604, 3.604, -5.402]],
  "species": ["Ba", "Ba", "Tb", "Os", "Se", "Se", "Se", "Se", "Se", "Se"],
  "frac_coords": [[0.250, 0.750, 0.500], [0.750, 0.250, 0.500], [0.000, 0.000, 0.000], [0.500, 0.500, 0.000], [0.200, 0.672, 0.872], [0.264, 0.264, 0.000], [0.328, 0.200, 0.528], [0.672, 0.800, 0.472], [0.736, 0.736, 0.000], [0.800, 0.328, 0.128]],
  "dft_energy_ev_per_atom": -5.191,
  "volume_a3_per_atom": 28.062
}


{
  "formula": "HoEr2Mg3Ir2Pd",
  "functional": "PBE",
  "state": "relaxed",
  "lattice_angstrom": [[4.001, 0.000, 0.000], [0.000, 6.335, 3.654], [0.000, -6.335, 3.654]],
  "species": ["Ho", "Er", "Er", "Mg", "Mg", "Mg", "Ir", "Ir", "Pd"],
  "frac_coords": [[0.000, 0.000, 0.000], [0.000, 0.168, 0.584], [0.000, 0.584, 0.168], [0.500, 0.335, 0.335], [0.500, 0.584, 0.833], [0.500, 0.833, 0.584], [0.500, 0.251, 0.917], [0.500, 0.917, 0.251], [0.000, 0.583, 0.583]],
  "dft_energy_ev_per_atom": -5.293,
  "volume_a3_per_atom": 20.581
}


{
  "formula": "LuMg2Au",
  "functional": "PBE",
  "state": "relaxed",
  "lattice_angstrom": [[0.000, 3.456, 3.456], [3.456, 0.000, 3.456], [3.456, 3.456, 0.000]],
  "species": ["Lu", "Mg", "Mg", "Au"],
  "frac_coords": [[0.000, 0.000, 0.000], [0.250, 0.250, 0.250], [0.500, 0.500, 0.500], [0.750, 0.750, 0.750]],
  "dft_energy_ev_per_atom": -3.136,
  "volume_a3_per_atom": 20.630
}